# Zr4TiBi2 | the Alexandria database | PBE-GGA | relaxed
# * VASP energy: -101.14 eV/cell
# * E_form: -0.1033 eV per atom
# * crystal system: monoclinic
data_Zr4TiBi2
_symmetry_space_group_name_H-M 'P 1 21/m 1'
_symmetry_Int_Tables_number 11
_symmetry_space_group_name_Hall '-P 2yb'
_cell_length_a 7.605
_cell_length_b 5.944
_cell_length_c 8.049
_cell_angle_alpha 90.00
_cell_angle_beta 115.81
_cell_angle_gamma 90.00
loop_
_atom_site_label
_atom_site_type_symbol
_atom_site_fract_x
_atom_site_fract_y
_atom_site_fract_z
_atom_site_occupancy
Zr1 Zr 0.009 0.250 0.003 1
Zr2 Zr 0.169 0.000 0.727 1
Zr3 Zr 0.303 0.250 0.428 1
Ti1 Ti 0.414 0.750 0.170 1
Bi1 Bi 0.229 0.750 0.415 1
Bi2 Bi 0.430 0.250 0.106 1